(1)
A plane-wave DFT calculation with GGA-PBE was carried out for crystalline AlHgS2 at its relaxed geometry.

a = 6.299 Å, b = 7.297 Å, c = 8.240 Å
α = 90.00°, β = 90.00°, γ = 90.00°
Sites, in units of the cell vectors:
Al 0.991 0.505 0.880
Al 0.491 0.995 0.380
Al 0.491 0.495 0.120
Al 0.991 0.005 0.620
Hg 0.072 0.120 0.059
Hg 0.572 0.880 0.941
Hg 0.572 0.380 0.559
Hg 0.072 0.620 0.441
S 0.345 0.489 0.871
S 0.845 0.511 0.129
S 0.845 0.011 0.371
S 0.345 0.989 0.629
S 0.345 0.771 0.217
S 0.345 0.271 0.283
S 0.845 0.729 0.717
S 0.845 0.229 0.783

Formation energy from raw total energies (kJ/mol of atoms): -52.1
SG: No. 33

(2)
A plane-wave DFT calculation with GGA-PBE was carried out for crystalline AlHgS at its relaxed geometry.

a = 3.456 Å, b = 3.456 Å, c = 5.591 Å
α = 90.00°, β = 90.00°, γ = 90.00°
Sites, in units of the cell vectors:
Al 0.408 0.592 0.000
S 0.908 0.092 0.000
Hg 0.408 0.592 0.500

Formation energy from raw total energies (kJ/mol of atoms): -31.9
SG: No. 123

(3)
A plane-wave DFT calculation with GGA-PBE was carried out for crystalline AlHgS2 at its relaxed geometry.

a = 7.609 Å, b = 7.609 Å, c = 7.609 Å
α = 32.21°, β = 32.21°, γ = 32.21°
Sites, in units of the cell vectors:
S 0.902 0.902 0.902
S 0.098 0.098 0.098
Hg 0.500 0.500 0.500
Al 0.000 0.000 0.000

Formation energy from raw total energies (kJ/mol of atoms): 4.6
SG: No. 166